Entry a
A plane-wave DFT calculation with PBE was carried out for a relaxed structure of ReOsRu2.

a b c (Å): 3.8498 3.8498 7.7074
angles (deg): 90.00 90.00 90.00
Space group I4/mmm (No. 139)
One atom of each set of equivalent atoms:
Re (0.0000, 0.0000, 0.0000)
Os (0.0000, 0.0000, 0.5000)
Ru (0.0000, 0.5000, 0.2500)

Properties
Total moment = 0.0 μB/f.u.
DOS at the Fermi energy = 8.6 states/eV per cell

Entry b
A plane-wave DFT calculation with PBE was carried out for a relaxed structure of ReOsRu2.

a b c (Å): 9.0307 2.7240 4.7223
angles (deg): 90.00 100.06 90.00
Space group Cm (No. 8)
One atom of each set of equivalent atoms:
Re (0.0000, 0.0000, 0.0000)
Os (0.2504, 0.0000, 0.7497)
Ru (0.0022, 0.5000, 0.5034)
Ru (0.2490, 0.5000, 0.2467)

Properties
Total moment = 0.0 μB/f.u.
DOS at the Fermi energy = 8.2 states/eV per cell

Entry c
A plane-wave DFT calculation with PBE was carried out for a relaxed structure of ReOsRu2.

a b c (Å): 2.7435 4.3549 4.7582
angles (deg): 90.00 90.00 90.00
Space group Pmm2 (No. 25)
One atom of each set of equivalent atoms:
Re (0.0000, 0.0000, 0.0000)
Os (0.0000, 0.5000, 0.3298)
Ru (0.5000, 0.0000, 0.4910)
Ru (0.5000, 0.5000, 0.8320)

Properties
Total moment = 0.0 μB/f.u.
DOS at the Fermi energy = 2.6 states/eV per cell

Tell me which of them is the least stable. Sure, it is entry b.